Record 1
Material: Ce2YTh3S6
Method: DFT, PBE
State: optimized geometry

Cell lengths 6.927, 6.927, 6.986 Å; angles 99.51, 99.51, 120.02 degrees
Last column: magnetic moment on the atom in μB.
Fractional coordinates of all 12 atoms:
S1 0.246 0.246 0.755  0.00
S2 0.920 0.592 0.758  0.00
S3 0.408 0.080 0.242  0.00
S4 0.754 0.754 0.245  0.00
S5 0.592 0.920 0.758  0.00
S6 0.080 0.408 0.242  0.00
Th1 0.168 0.832 0.500  0.00
Th2 0.832 0.168 0.500  0.00
Th3 0.500 0.500 0.500  0.00
Ce1 0.333 0.667 0.000  0.21
Ce2 0.667 0.333 0.000  0.21
Y1 0.000 0.000 0.000  0.00

Values from the calculation:
space-group type: No. 12
crystal system: monoclinic
density of states at the Fermi level: 11.774 states/eV per cell
formation energy from raw total energies: -1.9385 eV per atom



Record 2
Material: K3Tl5Pd2
Method: DFT, PBE
State: optimized geometry

Cell lengths 7.336, 10.219, 10.219 Å; angles 73.24, 68.97, 68.97 degrees
Fractional coordinates of all 20 atoms:
Tl1 0.398 0.776 0.427
Tl2 0.750 0.500 0.500
Tl3 0.512 0.738 0.738
Tl4 0.250 0.500 0.500
Tl5 0.988 0.262 0.262
Tl6 0.102 0.573 0.224
Tl7 0.898 0.427 0.776
Tl8 0.602 0.224 0.573
Tl9 0.012 0.738 0.738
Tl10 0.488 0.262 0.262
K1 0.646 0.607 0.100
K2 0.854 0.900 0.393
K3 0.354 0.393 0.900
K4 0.146 0.100 0.607
K5 0.750 0.000 0.000
K6 0.250 0.000 0.000
Pd1 0.162 0.721 0.955
Pd2 0.338 0.045 0.279
Pd3 0.662 0.955 0.721
Pd4 0.838 0.279 0.045

Values from the calculation:
space-group type: No. 72
crystal system: orthorhombic
density of states at the Fermi level: 12.120 states/eV per cell
energy relative to the elements: -0.0920 eV/atom



Record 3
Material: Ac2PmPr4Ho
Method: DFT, PBE
State: optimized geometry

Cell lengths 3.775, 6.431, 12.504 Å; angles 79.56, 90.00, 90.00 degrees
Fractional coordinates of all 8 atoms:
Ac1 0.500 0.000 0.500
Ac2 0.000 0.000 0.000
Ho1 0.500 0.500 0.000
Pr1 0.500 0.746 0.251
Pr2 0.500 0.254 0.749
Pr3 0.000 0.254 0.246
Pr4 0.000 0.746 0.754
Pm1 0.000 0.500 0.500

Values from the calculation:
space-group type: No. 10
crystal system: monoclinic
density of states at the Fermi level: 12.906 states/eV per cell
energy relative to the elements: 0.0319 eV/atom